# 1
Here is crystalline Rb4Pr3ZrO8 at its relaxed geometry from Alexandria. Energies are from PBE.

a = 7.2195 Å, b = 7.2195 Å, c = 19.8021 Å
α = 90.00°, β = 90.00°, γ = 120.00°
Space group R-3m (No. 166, hexagonal axes)
Asymmetric unit:
Rb (0.0000, 0.0000, 0.0000) x3
Rb (0.0000, 0.5000, 0.0000) x9
Pr (0.0000, 0.5000, 0.5000) x9
Zr (0.0000, 0.0000, 0.5000) x3
O (0.0000, 0.0000, 0.2286) x6
O (0.0317, 0.5159, 0.2251) x18

- Formation energy from raw total energies: -39.22 eV per formula unit
- ρ: 5483 kg/m3

***

# 2
Here is crystalline Sc2Be2CdRh5 at its relaxed geometry from Alexandria. Energies are from PBE.

a = 9.6099 Å, b = 9.6099 Å, c = 3.1736 Å
α = 90.00°, β = 90.00°, γ = 90.00°
Space group P4/mbm (No. 127)
Asymmetric unit:
Sc (0.1766, 0.3234, 0.0000) x4
Be (0.1216, 0.6216, 0.0000) x4
Cd (0.0000, 0.0000, 0.0000) x2
Rh (0.0000, 0.5000, 0.5000) x2
Rh (0.0722, 0.7815, 0.5000) x8

- Energy of formation from the pure elements: -0.68 eV per atom
- ρ: 8327 kg/m3

***

# 3
Here is crystalline ErUGa at its relaxed geometry from Alexandria. Energies are from PBE.

a = 3.1325 Å, b = 18.1467 Å, c = 4.7775 Å
α = 90.00°, β = 90.00°, γ = 90.00°
Space group Cmcm (No. 63)
Asymmetric unit:
Er (0.0000, 0.1365, 0.2500) x4
U (0.0000, 0.4709, 0.2500) x4
Ga (0.0000, 0.3031, 0.2500) x4

- Energy of formation from the pure elements: -0.01 eV per atom
- ρ: 11618 kg/m3

***

# 4
Here is crystalline LaPr10Sm6 at its relaxed geometry from Alexandria. Energies are from PBE.

a = 10.0242 Å, b = 10.0242 Å, c = 7.0410 Å
α = 90.00°, β = 90.00°, γ = 120.00°
Space group P-31m (No. 162)
Asymmetric unit:
La (0.0000, 0.0000, 0.0000) x1
Pr (0.0000, 0.2743, 0.3168) x6
Pr (0.3333, 0.6667, 0.0000) x2
Pr (0.3333, 0.6667, 0.5000) x2
Sm (0.0000, 0.3740, 0.8042) x6

- Energy of formation from the pure elements: 0.12 eV per atom
- ρ: 6640 kg/m3

***

# 5
Here is crystalline TaNbMo3 at its relaxed geometry from Alexandria. Energies are from PBE.

a = 4.7170 Å, b = 4.7170 Å, c = 4.7170 Å
α = 90.00°, β = 90.00°, γ = 90.00°
Space group Pm-3m (No. 221)
Asymmetric unit:
Ta (0.0000, 0.0000, 0.0000) x1
Nb (0.5000, 0.5000, 0.5000) x1
Mo (0.0000, 0.0000, 0.5000) x3

- Energy of formation from the pure elements: 1.77 eV per atom
- Energy above the lowest structure with this stoichiometry: 910 kJ/mol of formula units
- ρ: 8887 kg/m3

***

# 6
Here is crystalline LaAlTe at its relaxed geometry from Alexandria. Energies are from PBE.

a = 4.5627 Å, b = 4.5627 Å, c = 34.8870 Å
α = 90.00°, β = 90.00°, γ = 120.00°
Space group R-3m (No. 166, hexagonal axes)
Asymmetric unit:
La (0.0000, 0.0000, 0.0681) x6
Al (0.0000, 0.0000, 0.3332) x6
Te (0.0000, 0.0000, 0.2180) x6

- Formation energy from raw total energies: -2.39 eV per formula unit
- ρ: 4649 kg/m3

***

In order of appearance, electronic total energy = -6.603, -6.457, -6.300, -4.643, -9.112, -4.733 eV/atom.